{"formula": "Mn2CuSe", "functional": "PBE-GGA", "state": "optimized geometry", "e_tot_ev_per_atom": -6.183, "e_form_raw_ev_per_atom": 0.297, "space_group": "F-43m", "cell": [[0.000, 3.073, 3.073], [3.073, 0.000, 3.073], [3.073, 3.073, 0.000]], "species": ["Mn", "Mn", "Cu", "Se"], "frac_coords": [[0.000, 0.000, 0.000], [0.250, 0.250, 0.250], [0.500, 0.500, 0.500], [0.750, 0.750, 0.750]]}

---

{"formula": "MnCu2Se", "functional": "PBE-GGA", "state": "optimized geometry", "e_tot_ev_per_atom": -5.028, "e_form_raw_ev_per_atom": 0.184, "space_group": "I-4m2", "cell": [[-1.900, 1.900, 4.033], [1.900, -1.900, 4.033], [1.900, 1.900, -4.033]], "species": ["Mn", "Cu", "Cu", "Se"], "frac_coords": [[0.000, 0.000, 0.000], [0.500, 0.500, 0.000], [0.750, 0.250, 0.500], [0.250, 0.750, 0.500]]}

---

{"formula": "Mn2CuSe", "functional": "PBE-GGA", "state": "optimized geometry", "e_tot_ev_per_atom": -6.057, "e_form_raw_ev_per_atom": 0.423, "space_group": "I-42d", "cell": [[-1.891, 1.891, 8.887], [1.891, -1.891, 8.887], [1.891, 1.891, -8.887]], "species": ["Mn", "Mn", "Mn", "Mn", "Cu", "Cu", "Se", "Se"], "frac_coords": [[0.117, 0.625, 0.992], [0.375, 0.367, 0.492], [0.633, 0.125, 0.008], [0.875, 0.883, 0.508], [0.250, 0.750, 0.500], [0.500, 0.500, 0.000], [0.000, 0.000, 0.000], [0.750, 0.250, 0.500]]}

---

{"formula": "MnCuSe2", "functional": "PBE-GGA", "state": "optimized geometry", "e_tot_ev_per_atom": -5.267, "e_form_raw_ev_per_atom": -0.208, "space_group": "Cm", "cell": [[5.997, -1.703, 0.000], [5.997, 1.703, 0.000], [-0.010, 0.000, 3.590]], "species": ["Mn", "Cu", "Se", "Se"], "frac_coords": [[0.000, 0.000, 0.000], [0.792, 0.792, 0.493], [0.338, 0.338, 0.994], [0.588, 0.588, 0.498]]}

---

{"formula": "Mn2CuSe", "functional": "PBE-GGA", "state": "optimized geometry", "e_tot_ev_per_atom": -6.271, "e_form_raw_ev_per_atom": 0.209, "space_group": "P4mm", "cell": [[2.904, 0.000, 0.000], [0.000, 2.904, 0.000], [0.000, 0.000, 6.742]], "species": ["Mn", "Mn", "Cu", "Se"], "frac_coords": [[0.000, 0.000, 0.000], [0.500, 0.500, 0.241], [0.500, 0.500, 0.768], [0.000, 0.000, 0.437]]}

---

{"formula": "Mn2CuSe", "functional": "PBE-GGA", "state": "optimized geometry", "e_tot_ev_per_atom": -6.249, "e_form_raw_ev_per_atom": 0.231, "space_group": "Cm", "cell": [[2.574, -1.484, 0.000], [2.574, 1.484, 0.000], [-1.703, 0.000, 8.054]], "species": ["Mn", "Mn", "Cu", "Se"], "frac_coords": [[0.000, 0.000, 0.000], [0.250, 0.250, 0.749], [0.414, 0.414, 0.243], [0.517, 0.517, 0.550]]}

---

Ordered density of states at the Fermi level results: 3.49; 2.64; 6.18; 2.07; 3.56; 3.07; unit states/eV/cell.
Ordered M_tot results: 0.66; 4.05; 14.09; 3.88; 3.10; 5.56; unit μB per cell.